Entry from Alexandria: a relaxed HfGe2AsIr crystal (GGA-PBEsol).

Calculated values
Theoretical density, g/cm3: 8.9
Energy relative to the elements, meV per atom: 561

a b c (Å): 4.5445 4.5445 5.3179
angles (deg): 90.00 90.00 90.00
With the nearest neighbours (Å) after each atom.
Element x y z (fractional)
Hf  0.0000  0.0000  0.0000  4 As 3.21, 8 Ge 3.50
Ge  0.0000  0.5000  0.5000  2 Ir 2.27
Ge  0.5000  0.0000  0.5000  2 Ir 2.27
As  0.5000  0.5000  0.0000  2 Ir 2.66
Ir  0.5000  0.5000  0.5000  4 Ge 2.27



Entry from Alexandria: a relaxed CaPPb2 crystal (GGA-PBEsol).

Calculated values
Theoretical density, g/cm3: 7.4
Energy relative to the elements, meV per atom: -209

a b c (Å): 4.5759 4.5759 5.2457
angles (deg): 90.00 90.00 98.26
With the nearest neighbours (Å) after each atom.
Element x y z (fractional)
Ca  0.0000  0.0000  0.0000  2 P 2.99, 4 Pb 3.30
P  0.5000  0.5000  0.0000  2 Ca 2.99, 4 Pb 3.00
Pb  0.2896  0.7104  0.5000  3 Pb 2.91-3.04, 2 P 3.00
Pb  0.7104  0.2896  0.5000  3 Pb 2.91-3.04, 2 P 3.00



Entry from Alexandria: a relaxed SrLa2FeIr crystal (GGA-PBEsol).

Calculated values
Theoretical density, g/cm3: 7.8
Energy relative to the elements, meV per atom: 187

a b c (Å): 5.2842 5.2842 4.6781
angles (deg): 90.00 90.00 90.00
With the nearest neighbours (Å) after each atom.
Element x y z (fractional)
Sr  0.0000  0.0000  0.0000  8 La 3.53, 4 Ir 3.74
La  0.0000  0.5000  0.5000  2 Fe 2.64
La  0.5000  0.0000  0.5000  2 Fe 2.64
Fe  0.5000  0.5000  0.5000  2 Ir 2.34
Ir  0.5000  0.5000  0.0000  2 Fe 2.34



Entry from Alexandria: a relaxed TaCu2Rh crystal (GGA-PBEsol).

Calculated values
Theoretical density, g/cm3: 12.8
Energy relative to the elements, meV per atom: -186

a b c (Å): 4.6516 4.6516 4.6516
angles (deg): 132.63 132.63 69.23
With the nearest neighbours (Å) after each atom.
Element x y z (fractional)
Ta  0.0000  0.0000  0.0000  8 Cu 2.64-2.67, 4 Rh 2.67
Cu  0.5000  0.5000  0.0000  4 Ta 2.64, 4 Rh 2.67, 4 Cu 2.67
Cu  0.7500  0.2500  0.5000  4 Rh 2.64, 4 Ta 2.67, 4 Cu 2.67
Rh  0.2500  0.7500  0.5000  8 Cu 2.64-2.67, 4 Ta 2.67



Entry from Alexandria: a relaxed La5Pb crystal (GGA-PBEsol).

Calculated values
Theoretical density, g/cm3: 7.6
Energy relative to the elements, meV per atom: -198

a b c (Å): 6.6658 6.6658 8.6101
angles (deg): 104.31 104.31 32.06
With the nearest neighbours (Å) after each atom.
Element x y z (fractional)
La  0.0000  0.0000  0.0000  9 La 3.38-3.68, 3 Pb 3.39-3.61
La  0.0407  0.0407  0.6271  8 La 3.33-3.70, 2 Pb 3.60
La  0.3084  0.3084  0.6946  9 La 3.33-3.68, 2 Pb 3.37
La  0.3684  0.3684  0.2588  2 Pb 3.40, 7 La 3.49-3.68
La  0.6559  0.6559  0.3373  11 La 3.49-3.70, 1 Pb 3.55
Pb  0.7121  0.7121  0.9547  10 La 3.37-3.61, 2 Pb 3.68



Entry from Alexandria: a relaxed Cr2InAg crystal (GGA-PBEsol).

Calculated values
Theoretical density, g/cm3: 9.2
Energy relative to the elements, meV per atom: 607

a b c (Å): 5.0498 5.0498 5.0498
angles (deg): 139.68 134.25 62.60
With the nearest neighbours (Å) after each atom.
Element x y z (fractional)
Cr  0.2502  0.2502  0.0000  4 Cr 2.62, 4 In 2.77-2.92, 4 Ag 2.77-2.92
Cr  0.7498  0.7498  0.0000  4 Cr 2.62, 4 In 2.77-2.92, 4 Ag 2.77-2.92
In  0.5000  0.0000  0.5000  4 Ag 2.62, 8 Cr 2.77-2.92
Ag  0.0000  0.5000  0.5000  4 In 2.62, 8 Cr 2.77-2.92